[1]
Density functional theory data (GGA-PBE) for a relaxed YBeTe2I crystal.

As for the uncorrected formation energy: -0.24 eV per atom. The calculation puts the energy above the most stable polymorph in this dataset at 0.000 eV/atom. Its space-group type is P4/mmm.

CIF file:
```
data_YBeTe2I
_space_group_name_H-M_alt 'P 1'
_space_group_IT_number 1
_space_group_name_Hall 'P 1'
_cell_length_a 5.1725
_cell_length_b 5.1725
_cell_length_c 5.1083
_cell_angle_alpha 90.00
_cell_angle_beta 90.00
_cell_angle_gamma 90.00
loop_
_atom_site_label
_atom_site_type_symbol
_atom_site_fract_x
_atom_site_fract_y
_atom_site_fract_z
_atom_site_occupancy
Y1 Y 0.0000 0.0000 0.0000 1
Be1 Be 0.5000 0.5000 0.5000 1
Te1 Te 0.0000 0.5000 0.5000 1
Te2 Te 0.5000 0.0000 0.5000 1
I1 I 0.5000 0.5000 0.0000 1
```



[2]
Density functional theory data (GGA-PBE) for a relaxed YBeTeI2 crystal.

As for the uncorrected formation energy: -0.21 eV per atom. The calculation puts the energy above the most stable polymorph in this dataset at 0.000 eV/atom. Its space-group type is P4/mmm.

CIF file:
```
data_YBeTeI2
_space_group_name_H-M_alt 'P 1'
_space_group_IT_number 1
_space_group_name_Hall 'P 1'
_cell_length_a 5.1037
_cell_length_b 5.1037
_cell_length_c 5.4061
_cell_angle_alpha 90.00
_cell_angle_beta 90.00
_cell_angle_gamma 90.00
loop_
_atom_site_label
_atom_site_type_symbol
_atom_site_fract_x
_atom_site_fract_y
_atom_site_fract_z
_atom_site_occupancy
Y1 Y 0.0000 0.0000 0.0000 1
Be1 Be 0.5000 0.5000 0.5000 1
Te1 Te 0.5000 0.5000 0.0000 1
I1 I 0.0000 0.5000 0.5000 1
I2 I 0.5000 0.0000 0.5000 1
```



[3]
Density functional theory data (GGA-PBE) for a relaxed YBeTeI2 crystal.

As for the uncorrected formation energy: -0.04 eV per atom. The calculation puts the energy above the most stable polymorph in this dataset at 0.169 eV/atom. Its space-group type is P4/mmm.

CIF file:
```
data_YBeTeI2
_space_group_name_H-M_alt 'P 1'
_space_group_IT_number 1
_space_group_name_Hall 'P 1'
_cell_length_a 5.9520
_cell_length_b 5.9520
_cell_length_c 6.0456
_cell_angle_alpha 90.00
_cell_angle_beta 90.00
_cell_angle_gamma 90.00
loop_
_atom_site_label
_atom_site_type_symbol
_atom_site_fract_x
_atom_site_fract_y
_atom_site_fract_z
_atom_site_occupancy
Y1 Y 0.0000 0.0000 0.0000 1
Be1 Be 0.5000 0.5000 0.5000 1
Te1 Te 0.0000 0.0000 0.5000 1
I1 I 0.0000 0.5000 0.0000 1
I2 I 0.5000 0.0000 0.0000 1
```



[4]
Density functional theory data (GGA-PBE) for a relaxed YBeTe2I crystal.

As for the uncorrected formation energy: 0.20 eV per atom. The calculation puts the energy above the most stable polymorph in this dataset at 0.438 eV/atom. Its space-group type is P4/mmm.

CIF file:
```
data_YBeTe2I
_space_group_name_H-M_alt 'P 1'
_space_group_IT_number 1
_space_group_name_Hall 'P 1'
_cell_length_a 5.9198
_cell_length_b 5.9198
_cell_length_c 5.9193
_cell_angle_alpha 90.00
_cell_angle_beta 90.00
_cell_angle_gamma 90.00
loop_
_atom_site_label
_atom_site_type_symbol
_atom_site_fract_x
_atom_site_fract_y
_atom_site_fract_z
_atom_site_occupancy
Y1 Y 0.0000 0.0000 0.0000 1
Be1 Be 0.5000 0.5000 0.5000 1
Te1 Te 0.0000 0.5000 0.0000 1
Te2 Te 0.5000 0.0000 0.0000 1
I1 I 0.0000 0.0000 0.5000 1
```



[5]
Density functional theory data (GGA-PBE) for a relaxed BeZnTe2I crystal.

As for the uncorrected formation energy: 0.41 eV per atom. The calculation puts the energy above the most stable polymorph in this dataset at 0.000 eV/atom. Its space-group type is P4/mmm.

CIF file:
```
data_BeZnTe2I
_space_group_name_H-M_alt 'P 1'
_space_group_IT_number 1
_space_group_name_Hall 'P 1'
_cell_length_a 5.0779
_cell_length_b 5.0779
_cell_length_c 5.2195
_cell_angle_alpha 90.00
_cell_angle_beta 90.00
_cell_angle_gamma 90.00
loop_
_atom_site_label
_atom_site_type_symbol
_atom_site_fract_x
_atom_site_fract_y
_atom_site_fract_z
_atom_site_occupancy
Be1 Be 0.0000 0.0000 0.0000 1
Zn1 Zn 0.5000 0.5000 0.5000 1
Te1 Te 0.0000 0.5000 0.0000 1
Te2 Te 0.5000 0.0000 0.0000 1
I1 I 0.0000 0.0000 0.5000 1
```



[6]
Density functional theory data (GGA-PBE) for a relaxed BeZnTe2I crystal.

As for the uncorrected formation energy: 0.84 eV per atom. The calculation puts the energy above the most stable polymorph in this dataset at 0.422 eV/atom. Its space-group type is P4/mmm.

CIF file:
```
data_BeZnTe2I
_space_group_name_H-M_alt 'P 1'
_space_group_IT_number 1
_space_group_name_Hall 'P 1'
_cell_length_a 5.3183
_cell_length_b 5.3183
_cell_length_c 5.5429
_cell_angle_alpha 90.00
_cell_angle_beta 90.00
_cell_angle_gamma 90.00
loop_
_atom_site_label
_atom_site_type_symbol
_atom_site_fract_x
_atom_site_fract_y
_atom_site_fract_z
_atom_site_occupancy
Be1 Be 0.0000 0.0000 0.0000 1
Zn1 Zn 0.5000 0.5000 0.5000 1
Te1 Te 0.0000 0.5000 0.5000 1
Te2 Te 0.5000 0.0000 0.5000 1
I1 I 0.5000 0.5000 0.0000 1
```



[7]
Density functional theory data (GGA-PBE) for a relaxed ZrBeTe2I crystal.

As for the uncorrected formation energy: 0.31 eV per atom. The calculation puts the energy above the most stable polymorph in this dataset at 0.000 eV/atom. Its space-group type is P4/mmm.

CIF file:
```
data_ZrBeTe2I
_space_group_name_H-M_alt 'P 1'
_space_group_IT_number 1
_space_group_name_Hall 'P 1'
_cell_length_a 5.0233
_cell_length_b 5.0233
_cell_length_c 5.0940
_cell_angle_alpha 90.00
_cell_angle_beta 90.00
_cell_angle_gamma 90.00
loop_
_atom_site_label
_atom_site_type_symbol
_atom_site_fract_x
_atom_site_fract_y
_atom_site_fract_z
_atom_site_occupancy
Zr1 Zr 0.0000 0.0000 0.0000 1
Be1 Be 0.5000 0.5000 0.5000 1
Te1 Te 0.0000 0.5000 0.5000 1
Te2 Te 0.5000 0.0000 0.5000 1
I1 I 0.5000 0.5000 0.0000 1
```



[8]
Density functional theory data (GGA-PBE) for a relaxed ZrBeTe2I crystal.

As for the uncorrected formation energy: 0.31 eV per atom. The calculation puts the energy above the most stable polymorph in this dataset at 0.005 eV/atom. Its space-group type is P4/mmm.

CIF file:
```
data_ZrBeTe2I
_space_group_name_H-M_alt 'P 1'
_space_group_IT_number 1
_space_group_name_Hall 'P 1'
_cell_length_a 5.5967
_cell_length_b 5.5967
_cell_length_c 5.8494
_cell_angle_alpha 90.00
_cell_angle_beta 90.00
_cell_angle_gamma 90.00
loop_
_atom_site_label
_atom_site_type_symbol
_atom_site_fract_x
_atom_site_fract_y
_atom_site_fract_z
_atom_site_occupancy
Zr1 Zr 0.0000 0.0000 0.0000 1
Be1 Be 0.5000 0.5000 0.5000 1
Te1 Te 0.0000 0.5000 0.0000 1
Te2 Te 0.5000 0.0000 0.0000 1
I1 I 0.0000 0.0000 0.5000 1
```



[9]
Density functional theory data (GGA-PBE) for a relaxed ThBeI crystal.

As for the uncorrected formation energy: -0.33 eV per atom. The calculation puts the energy above the most stable polymorph in this dataset at 0.244 eV/atom. Its space-group type is Cmcm.

CIF file:
```
data_ThBeI
_space_group_name_H-M_alt 'P 1'
_space_group_IT_number 1
_space_group_name_Hall 'P 1'
_cell_length_a 4.2563
_cell_length_b 23.5042
_cell_length_c 3.9910
_cell_angle_alpha 90.00
_cell_angle_beta 90.00
_cell_angle_gamma 90.00
loop_
_atom_site_label
_atom_site_type_symbol
_atom_site_fract_x
_atom_site_fract_y
_atom_site_fract_z
_atom_site_occupancy
Th1 Th 0.0000 0.0655 0.2500 1
Th2 Th 0.0000 0.9345 0.7500 1
Th3 Th 0.5000 0.4345 0.7500 1
Th4 Th 0.5000 0.5655 0.2500 1
Be1 Be 0.0000 0.4834 0.2500 1
Be2 Be 0.0000 0.5166 0.7500 1
Be3 Be 0.5000 0.0166 0.7500 1
Be4 Be 0.5000 0.9834 0.2500 1
I1 I 0.0000 0.1711 0.7500 1
I2 I 0.0000 0.8289 0.2500 1
I3 I 0.5000 0.3289 0.2500 1
I4 I 0.5000 0.6711 0.7500 1
```



[10]
Density functional theory data (GGA-PBE) for a relaxed ThBeI crystal.

As for the uncorrected formation energy: -0.58 eV per atom. The calculation puts the energy above the most stable polymorph in this dataset at 0.000 eV/atom. Its space-group type is C2/m.

CIF file:
```
data_ThBeI
_space_group_name_H-M_alt 'P 1'
_space_group_IT_number 1
_space_group_name_Hall 'P 1'
_cell_length_a 6.9570
_cell_length_b 4.0173
_cell_length_c 12.6059
_cell_angle_alpha 90.00
_cell_angle_beta 91.25
_cell_angle_gamma 90.00
loop_
_atom_site_label
_atom_site_type_symbol
_atom_site_fract_x
_atom_site_fract_y
_atom_site_fract_z
_atom_site_occupancy
Th1 Th 0.0060 0.0000 0.1492 1
Th2 Th 0.4940 0.5000 0.8508 1
Th3 Th 0.5060 0.5000 0.1492 1
Th4 Th 0.9940 0.0000 0.8508 1
Be1 Be 0.1666 0.5000 0.9994 1
Be2 Be 0.3334 0.0000 0.0006 1
Be3 Be 0.6666 0.0000 0.9994 1
Be4 Be 0.8334 0.5000 0.0006 1
I1 I 0.1800 0.5000 0.3320 1
I2 I 0.3200 0.0000 0.6680 1
I3 I 0.6800 0.0000 0.3320 1
I4 I 0.8200 0.5000 0.6680 1
```